## ZnCrCo (GGA-PBEsol)

Data for ZnCrCo after structural relaxation.

Properties
Distance to the lowest polymorph of the same formula = 0 meV/atom
Space group = Fmm2
V = 11.462 A^3/atom
Energy of formation = 0.46 eV/f.u.

Cell lengths 2.4376, 2.4376, 6.2627 Å; angles 97.66, 97.66, 108.38 degrees
Each line ends with the local moment (μB).
Fractional positions:
1 Zn 0.3360 0.3360 0.6721  -0.01
2 Co 0.0052 0.0052 0.0105  1.07
3 Cr 0.6587 0.6587 0.3174  0.04